Pm4FeGe8: optimized geometry, PBE-GGA.

Structure (POSCAR):
```
Pm4FeGe8
1.0
-2.368 -1.087 3.129
3.405 -1.404 2.090
2.021 14.856 6.689
Ge Pm Fe
8 4 1
Cartesian
3.620 13.391 7.390
0.917 6.739 3.034
0.620 -0.502 2.944
2.196 2.926 2.678
-0.065 7.683 5.268
1.511 11.108 5.001
2.041 9.946 7.648
-0.696 3.042 3.179
0.626 12.767 7.557
2.926 8.291 5.094
0.209 1.537 0.692
1.320 4.644 5.261
0.625 4.596 2.069
```

## Properties
- E: -72.12 eV for the cell shown
- Space-group type: Pmm2, No. 25

TmAl2Re: optimized geometry, PBE-GGA.

Structure (POSCAR):
```
TmAl2Re
1.0
-1.702 2.492 -0.196
-2.983 -0.166 0.469
-0.223 2.404 9.178
Tm Al Re
1 2 1
Cartesian
-2.454 2.365 4.725
-1.277 1.121 2.022
-3.631 3.609 7.429
0.000 0.000 0.000
```

## Properties
- E: -24.10 eV for the cell shown
- Space-group type: R-3m, No. 166